A:
Below is MnZnTe4 after structural relaxation, with properties calculated at the PBE level.

Properties
Total magnetic moment: 0.50 μB per atom

Cell and atoms, written as POSCAR:
```
MnZnTe4
1.0
6.7958 0.0000 0.0000
0.0000 6.7410 0.0160
0.0000 0.0365 6.7536
Mn Zn Te
2 2 8
direct
0.5000 0.5000 0.0000 Mn
0.0000 0.5000 0.5000 Mn
0.5000 0.0000 0.5000 Zn
0.0000 0.0000 0.0000 Zn
0.1130 0.1357 0.3832 Te
0.6130 0.8643 0.1168 Te
0.8619 0.3899 0.8618 Te
0.3619 0.6101 0.6382 Te
0.8870 0.8643 0.6168 Te
0.3870 0.1357 0.8832 Te
0.1381 0.6101 0.1382 Te
0.6381 0.3899 0.3618 Te
```

---

B:
Below is MnZnTe4 after structural relaxation, with properties calculated at the PBE level.

Properties
Total magnetic moment: 0.89 μB per atom

Cell and atoms, written as POSCAR:
```
MnZnTe4
1.0
0.0000 4.5012 4.5012
4.5012 0.0000 4.5012
4.5012 4.5012 0.0000
Mn Zn Te
1 1 4
direct
0.0000 0.0000 0.0000 Mn
0.7500 0.7500 0.7500 Zn
0.8759 0.3747 0.3747 Te
0.3747 0.3747 0.8759 Te
0.3747 0.8759 0.3747 Te
0.3747 0.3747 0.3747 Te
```

---

Tell me which of them is the least stable. Sure, it is B.

---

A:
Below is Zr2Mn2Te after structural relaxation, with properties calculated at the PBE level.

Properties
Total magnetic moment: 0.00 μB per atom

Cell and atoms, written as POSCAR:
```
Zr2Mn2Te
1.0
3.3880 0.0000 0.0000
0.0000 3.3880 0.0000
1.6940 1.6940 8.1536
Mn Te Zr
2 1 2
direct
0.7500 0.2500 0.5000 Mn
0.2500 0.7500 0.5000 Mn
0.0000 0.0000 0.0000 Te
0.3835 0.3835 0.2330 Zr
0.6165 0.6165 0.7670 Zr
```

---

B:
Below is Zr2Mn2Te after structural relaxation, with properties calculated at the PBE level.

Properties
Total magnetic moment: 0.00 μB per atom

Cell and atoms, written as POSCAR:
```
Zr2Mn2Te
1.0
7.8011 0.0000 0.0000
0.0000 7.8011 0.0000
0.0000 0.0000 3.2323
Mn Te Zr
4 2 4
direct
0.0904 0.5904 0.5000 Mn
0.5904 0.9096 0.5000 Mn
0.9096 0.4096 0.5000 Mn
0.4096 0.0904 0.5000 Mn
0.0000 0.0000 0.0000 Te
0.5000 0.5000 0.0000 Te
0.3182 0.8182 0.0000 Zr
0.8182 0.6818 0.0000 Zr
0.6818 0.1818 0.0000 Zr
0.1818 0.3182 0.0000 Zr
```

---

Tell me which of them is the least stable. Sure, it is B.

---

A:
Below is ZrMn3Te after structural relaxation, with properties calculated at the PBE level.

Properties
Total magnetic moment: 1.88 μB per atom

Cell and atoms, written as POSCAR:
```
ZrMn3Te
1.0
-4.4483 -1.9434 -0.2779
1.2672 -2.3168 -4.0827
1.4994 -3.8075 2.6260
Mn Te Zr
3 1 1
direct
0.0000 0.5000 0.0000 Mn
0.0000 0.0000 0.5000 Mn
0.5000 0.0000 0.0000 Mn
0.5000 0.5000 0.5000 Te
0.0000 0.0000 0.0000 Zr
```

---

B:
Below is ZrMn3Te after structural relaxation, with properties calculated at the PBE level.

Properties
Total magnetic moment: 1.55 μB per atom

Cell and atoms, written as POSCAR:
```
ZrMn3Te
1.0
4.7777 0.0000 0.0000
0.0000 4.7777 0.0000
0.0000 0.0000 4.7777
Mn Te Zr
3 1 1
direct
0.0000 0.5000 0.0000 Mn
0.0000 0.0000 0.5000 Mn
0.5000 0.0000 0.0000 Mn
0.0000 0.0000 0.0000 Te
0.5000 0.5000 0.5000 Zr
```

---

Tell me which of them is the least stable. Sure, it is A.

---

A:
Below is ThMn6 after structural relaxation, with properties calculated at the PBE level.

Properties
Total magnetic moment: 0.00 μB per atom

Cell and atoms, written as POSCAR:
```
ThMn6
1.0
5.2763 0.0000 0.0000
-1.7588 4.9746 0.0000
-1.7588 -2.4873 4.3081
Th Mn
1 6
direct
0.0000 0.0000 0.0000 Th
0.2500 0.7500 0.5000 Mn
0.5000 0.7500 0.2500 Mn
0.2500 0.5000 0.7500 Mn
0.7500 0.2500 0.5000 Mn
0.5000 0.2500 0.7500 Mn
0.7500 0.5000 0.2500 Mn
```

---

B:
Below is ThMn6 after structural relaxation, with properties calculated at the PBE level.

Properties
Total magnetic moment: 0.62 μB per atom

Cell and atoms, written as POSCAR:
```
ThMn6
1.0
-2.4928 1.9361 3.6150
-6.0949 -5.1811 -1.4280
4.2205 -6.7658 6.5339
Th Mn
4 24
direct
0.7500 0.2329 0.9429 Th
0.2500 0.7671 0.0571 Th
0.7500 0.7329 0.5571 Th
0.2500 0.2671 0.4429 Th
0.7500 0.5863 0.0305 Mn
0.2500 0.4137 0.9695 Mn
0.7500 0.0863 0.4695 Mn
0.2500 0.9137 0.5305 Mn
0.0162 0.4321 0.1883 Mn
0.5162 0.5679 0.8117 Mn
0.4838 0.9321 0.3117 Mn
0.9838 0.0679 0.6883 Mn
0.9838 0.5679 0.8117 Mn
0.4838 0.4321 0.1883 Mn
0.5162 0.0679 0.6883 Mn
0.0162 0.9321 0.3117 Mn
0.2500 0.1440 0.1521 Mn
0.7500 0.8560 0.8479 Mn
0.2500 0.6440 0.3479 Mn
0.7500 0.3560 0.6521 Mn
0.2500 0.8056 0.7566 Mn
0.7500 0.1944 0.2434 Mn
0.2500 0.3056 0.7434 Mn
0.7500 0.6944 0.2566 Mn
0.2500 0.5466 0.6050 Mn
0.7500 0.4534 0.3950 Mn
0.2500 0.0466 0.8950 Mn
0.7500 0.9534 0.1050 Mn
```

---

Tell me which of them is the least stable. Sure, it is A.

---

A:
Below is Th2MnTl after structural relaxation, with properties calculated at the PBE level.

Properties
Total magnetic moment: 0.00 μB per atom

Cell and atoms, written as POSCAR:
```
Th2MnTl
1.0
-1.2458 1.2946 2.8696
-0.6632 -3.1248 1.1218
8.0561 -0.3909 3.6738
Tl Mn Th
1 1 2
direct
0.5000 0.5000 0.5000 Tl
0.5000 0.5000 0.0000 Mn
0.0000 0.0000 0.8033 Th
0.0000 0.0000 0.1967 Th
```

---

B:
Below is Th2MnTl after structural relaxation, with properties calculated at the PBE level.

Properties
Total magnetic moment: 0.00 μB per atom

Cell and atoms, written as POSCAR:
```
Th2MnTl
1.0
3.9404 0.0000 0.0000
1.9702 3.4124 0.0000
1.9702 1.1375 8.2789
Tl Mn Th
1 1 2
direct
0.5000 0.5000 0.5000 Tl
0.0000 0.0000 0.0000 Mn
0.2741 0.2741 0.1776 Th
0.7259 0.7259 0.8224 Th
```

---

Tell me which of them is the least stable. Sure, it is B.

---

A:
Below is TmTh2Mn after structural relaxation, with properties calculated at the PBE level.

Properties
Total magnetic moment: 0.00 μB per atom

Cell and atoms, written as POSCAR:
```
TmTh2Mn
1.0
-2.7284 4.4402 3.3285
-6.0415 -1.1491 -3.4194
-2.5131 -6.5138 6.6294
Tm Th Mn
4 8 4
direct
0.6507 0.5499 0.2500 Tm
0.8493 0.0499 0.2500 Tm
0.3493 0.4501 0.7500 Tm
0.1507 0.9501 0.7500 Tm
0.1745 0.6672 0.0675 Th
0.3255 0.1672 0.4325 Th
0.8255 0.3328 0.5675 Th
0.6745 0.8328 0.9325 Th
0.8255 0.3328 0.9325 Th
0.6745 0.8328 0.5675 Th
0.1745 0.6672 0.4325 Th
0.3255 0.1672 0.0675 Th
0.0934 0.3964 0.2500 Mn
0.4066 0.8964 0.2500 Mn
0.9066 0.6036 0.7500 Mn
0.5934 0.1036 0.7500 Mn
```

---

B:
Below is TmTh2Mn after structural relaxation, with properties calculated at the PBE level.

Properties
Total magnetic moment: 0.00 μB per atom

Cell and atoms, written as POSCAR:
```
TmTh2Mn
1.0
3.7582 0.0000 0.0000
1.8791 3.2547 0.0000
1.8791 1.0849 8.9768
Mn Tm Th
1 1 2
direct
0.0000 0.0000 0.0000 Mn
0.5000 0.5000 0.5000 Tm
0.2740 0.2740 0.1779 Th
0.7260 0.7260 0.8221 Th
```

---

Tell me which of them is the least stable. Sure, it is B.

---

A:
Below is Tm2ThMn after structural relaxation, with properties calculated at the PBE level.

Properties
Total magnetic moment: 0.86 μB per atom

Cell and atoms, written as POSCAR:
```
Tm2ThMn
1.0
3.4064 0.0000 0.0000
1.7032 2.9500 0.0000
1.7032 0.9833 11.2492
Mn Tm Th
1 2 1
direct
0.0000 0.0000 0.0000 Mn
0.0834 0.0834 0.7497 Tm
0.9166 0.9166 0.2503 Tm
0.5000 0.5000 0.5000 Th
```

---

B:
Below is Tm2ThMn after structural relaxation, with properties calculated at the PBE level.

Properties
Total magnetic moment: 0.74 μB per atom

Cell and atoms, written as POSCAR:
```
Tm2ThMn
1.0
-2.4288 2.4644 -0.1080
-0.8053 -0.9354 -3.2343
-5.8754 -5.6549 3.0985
Mn Tm Th
1 2 1
direct
0.5000 0.5000 0.0000 Mn
0.0000 0.0000 0.8014 Tm
0.0000 0.0000 0.1986 Tm
0.5000 0.5000 0.5000 Th
```

---

Tell me which of them is the least stable. Sure, it is A.

---

A:
Below is Th2MnZn after structural relaxation, with properties calculated at the PBE level.

Properties
Total magnetic moment: 0.72 μB per atom

Cell and atoms, written as POSCAR:
```
Th2MnZn
1.0
-2.6671 1.9596 -0.0293
-2.9942 -1.2711 0.6109
-0.5851 2.1567 10.5848
Zn Mn Th
1 1 2
direct
0.5000 0.5000 0.5000 Zn
0.0000 0.0000 0.0000 Mn
0.0866 0.0866 0.7403 Th
0.9134 0.9134 0.2597 Th
```

---

B:
Below is Th2MnZn after structural relaxation, with properties calculated at the PBE level.

Properties
Total magnetic moment: 0.60 μB per atom

Cell and atoms, written as POSCAR:
```
Th2MnZn
1.0
-0.2194 3.0936 -2.0411
-0.4325 -2.7996 -4.1966
-5.0359 -0.0102 0.5258
Zn Mn Th
1 1 2
direct
0.5000 0.0000 0.0000 Zn
0.5000 0.5000 0.5000 Mn
0.0000 0.0000 0.5000 Th
0.0000 0.5000 0.0000 Th
```

---

Tell me which of them is the least stable. Sure, it is A.

---

A:
Below is ThZr2Mn after structural relaxation, with properties calculated at the PBE level.

Properties
Total magnetic moment: 0.36 μB per atom

Cell and atoms, written as POSCAR:
```
ThZr2Mn
1.0
4.9804 0.0000 0.0000
2.4902 4.3132 0.0000
2.4902 1.4377 4.0656
Mn Zr Th
1 2 1
direct
0.0000 0.0000 0.0000 Mn
0.2500 0.2500 0.2500 Zr
0.7500 0.7500 0.7500 Zr
0.5000 0.5000 0.5000 Th
```

---

B:
Below is ThZr2Mn after structural relaxation, with properties calculated at the PBE level.

Properties
Total magnetic moment: 0.00 μB per atom

Cell and atoms, written as POSCAR:
```
ThZr2Mn
1.0
-0.0310 2.1681 -2.4469
-2.6681 -1.4309 -1.2340
-4.7131 4.9524 4.4478
Mn Zr Th
1 2 1
direct
0.5000 0.5000 0.0000 Mn
0.0000 0.0000 0.8133 Zr
0.0000 0.0000 0.1867 Zr
0.5000 0.5000 0.5000 Th
```

---

Tell me which of them is the least stable. Sure, it is A.

---

A:
Below is Ti5Mn after structural relaxation, with properties calculated at the PBE level.

Properties
Total magnetic moment: 0.00 μB per atom

Cell and atoms, written as POSCAR:
```
Ti5Mn
1.0
2.9857 0.0000 0.0000
0.0000 2.9857 0.0000
0.0000 0.0000 10.7089
Ti Mn
5 1
direct
0.0000 0.0000 0.6340 Ti
0.5000 0.5000 0.8172 Ti
0.0000 0.0000 0.0000 Ti
0.5000 0.5000 0.1828 Ti
0.0000 0.0000 0.3660 Ti
0.5000 0.5000 0.5000 Mn
```

---

B:
Below is Ti5Mn after structural relaxation, with properties calculated at the PBE level.

Properties
Total magnetic moment: 0.00 μB per atom

Cell and atoms, written as POSCAR:
```
Ti5Mn
1.0
4.5754 0.0000 0.0000
0.0000 3.0695 0.0000
0.0000 -1.5348 6.7739
Mn Ti
1 5
direct
0.0000 0.0000 0.0000 Mn
0.5000 0.8321 0.6642 Ti
0.0000 0.6469 0.2938 Ti
0.5000 0.5000 0.0000 Ti
0.0000 0.3531 0.7062 Ti
0.5000 0.1679 0.3358 Ti
```

---

Tell me which of them is the least stable. Sure, it is B.

---

A:
Below is Ti2MnTl after structural relaxation, with properties calculated at the PBE level.

Properties
Total magnetic moment: 0.26 μB per atom

Cell and atoms, written as POSCAR:
```
Ti2MnTl
1.0
-2.3766 0.0958 -3.1333
-0.3637 -3.9139 0.1561
-9.1864 -0.9450 4.4694
Tl Mn Ti
2 2 4
direct
0.0000 0.0000 0.0000 Tl
0.7500 0.2500 0.5000 Tl
0.5000 0.5000 0.0000 Mn
0.2500 0.7500 0.5000 Mn
0.6141 0.1250 0.2500 Ti
0.1359 0.6250 0.2500 Ti
0.3750 0.3859 0.7500 Ti
0.8750 0.8641 0.7500 Ti
```

---

B:
Below is Ti2MnTl after structural relaxation, with properties calculated at the PBE level.

Properties
Total magnetic moment: 0.00 μB per atom

Cell and atoms, written as POSCAR:
```
Ti2MnTl
1.0
3.0372 0.0000 0.0000
0.0000 3.0372 0.0000
0.0000 0.0000 7.2654
Tl Mn Ti
1 1 2
direct
0.5000 0.5000 0.5000 Tl
0.5000 0.5000 0.0000 Mn
0.0000 0.0000 0.8064 Ti
0.0000 0.0000 0.1936 Ti
```

---

C:
Below is Ti2MnTl after structural relaxation, with properties calculated at the PBE level.

Properties
Total magnetic moment: 0.00 μB per atom

Cell and atoms, written as POSCAR:
```
Ti2MnTl
1.0
-4.1802 0.0626 1.7625
-2.9796 3.1485 -1.3391
-3.5572 -1.1842 -2.5551
Tl Mn Ti
1 1 2
direct
0.5000 0.5000 0.5000 Tl
0.0000 0.0000 0.0000 Mn
0.2500 0.2500 0.2500 Ti
0.7500 0.7500 0.7500 Ti
```

---

Tell me which of them is the least stable. Sure, it is A.

---

A:
Below is TiMnTl2 after structural relaxation, with properties calculated at the PBE level.

Properties
Total magnetic moment: 0.00 μB per atom

Cell and atoms, written as POSCAR:
```
TiMnTl2
1.0
2.4533 -0.9502 3.8687
0.0640 3.0587 3.5396
-2.2232 -0.9972 3.9939
Tl Mn Ti
2 1 1
direct
0.2500 0.2500 0.2500 Tl
0.7500 0.7500 0.7500 Tl
0.5000 0.5000 0.5000 Mn
0.0000 0.0000 0.0000 Ti
```

---

B:
Below is TiMnTl2 after structural relaxation, with properties calculated at the PBE level.

Properties
Total magnetic moment: 0.67 μB per atom

Cell and atoms, written as POSCAR:
```
TiMnTl2
1.0
7.6364 0.0000 0.0000
0.0000 7.6364 0.0000
3.8182 3.8182 3.0061
Tl Mn Ti
4 2 2
direct
0.6367 0.1250 0.2500 Tl
0.1133 0.6250 0.2500 Tl
0.3750 0.3633 0.7500 Tl
0.8750 0.8867 0.7500 Tl
0.0000 0.0000 0.0000 Mn
0.7500 0.2500 0.5000 Mn
0.5000 0.5000 0.0000 Ti
0.2500 0.7500 0.5000 Ti
```

---

Tell me which of them is the least stable. Sure, it is A.